Entry from Alexandria: Si2AsC at its PBEsol-relaxed geometry (meta-GGA SCAN). Values from VASP.

The structure in Quantum ESPRESSO input format:
```
&SYSTEM
  ibrav = 0, nat = 8, ntyp = 3
/
ATOMIC_SPECIES
Si 28.09 Si.upf
As 74.92 As.upf
C 12.01 C.upf
CELL_PARAMETERS angstrom
-2.599 2.599 4.307
2.599 -2.599 4.307
2.599 2.599 -4.307
ATOMIC_POSITIONS crystal
Si 0.046 0.125 0.421
Si 0.375 0.954 0.079
Si 0.704 0.625 0.579
Si 0.875 0.296 0.921
As 0.250 0.750 0.500
As 0.500 0.500 0.000
C 0.000 0.000 0.000
C 0.750 0.250 0.500
```

Calculated values
Space group ... No. 122
E_form (uncorrected) ... 239 meV/atom
Uncorrected energy ... -98.7 eV/cell

=====

Entry from Alexandria: SiAsC3 at its PBEsol-relaxed geometry (meta-GGA SCAN). Values from VASP.

The structure in Quantum ESPRESSO input format:
```
&SYSTEM
  ibrav = 0, nat = 5, ntyp = 3
/
ATOMIC_SPECIES
Si 28.09 Si.upf
As 74.92 As.upf
C 12.01 C.upf
CELL_PARAMETERS angstrom
3.787 0.000 0.000
0.000 3.787 0.000
0.000 0.000 3.787
ATOMIC_POSITIONS crystal
Si 0.000 0.000 0.000
As 0.500 0.500 0.500
C 0.000 0.000 0.500
C 0.000 0.500 0.000
C 0.500 0.000 0.000
```

Calculated values
Space group ... No. 221
E_form (uncorrected) ... 2118 meV/atom
Uncorrected energy ... -49.9 eV/cell

=====

Entry from Alexandria: SiTcAs2C at its PBEsol-relaxed geometry (meta-GGA SCAN). Values from VASP.

The structure in Quantum ESPRESSO input format:
```
&SYSTEM
  ibrav = 0, nat = 5, ntyp = 4
/
ATOMIC_SPECIES
Si 28.09 Si.upf
Tc 98.00 Tc.upf
As 74.92 As.upf
C 12.01 C.upf
CELL_PARAMETERS angstrom
4.585 0.000 0.000
0.000 4.585 0.000
0.000 0.000 4.445
ATOMIC_POSITIONS crystal
Si 0.000 0.000 0.000
Tc 0.000 0.000 0.500
As 0.000 0.500 0.000
As 0.500 0.000 0.000
C 0.500 0.500 0.500
```

Calculated values
Space group ... No. 123
E_form (uncorrected) ... 2248 meV/atom
Uncorrected energy ... -84.3 eV/cell

=====

Entry from Alexandria: SnAsC2 at its PBEsol-relaxed geometry (meta-GGA SCAN). Values from VASP.

The structure in Quantum ESPRESSO input format:
```
&SYSTEM
  ibrav = 0, nat = 4, ntyp = 3
/
ATOMIC_SPECIES
Sn 118.71 Sn.upf
As 74.92 As.upf
C 12.01 C.upf
CELL_PARAMETERS angstrom
0.000 2.949 2.949
2.949 0.000 2.949
2.949 2.949 0.000
ATOMIC_POSITIONS crystal
Sn 0.000 0.000 0.000
As 0.500 0.500 0.500
C 0.250 0.250 0.250
C 0.750 0.750 0.750
```

Calculated values
Space group ... No. 225
E above lowest polymorph ... 1.137 eV/atom
Uncorrected energy ... -67.0 eV/cell
Formation enthalpy at 0 K ... 2.33 eV per atom

=====

Entry from Alexandria: SnAsC2 at its PBEsol-relaxed geometry (meta-GGA SCAN). Values from VASP.

The structure in Quantum ESPRESSO input format:
```
&SYSTEM
  ibrav = 0, nat = 8, ntyp = 3
/
ATOMIC_SPECIES
Sn 118.71 Sn.upf
As 74.92 As.upf
C 12.01 C.upf
CELL_PARAMETERS angstrom
-2.439 2.439 4.888
2.439 -2.439 4.888
2.439 2.439 -4.888
ATOMIC_POSITIONS crystal
Sn 0.000 0.000 0.000
Sn 0.750 0.250 0.500
As 0.250 0.750 0.500
As 0.500 0.500 0.000
C 0.157 0.625 0.032
C 0.375 0.407 0.532
C 0.593 0.125 0.968
C 0.875 0.843 0.468
```

Calculated values
Space group ... No. 122
E above lowest polymorph ... 0.000 eV/atom
Uncorrected energy ... -143.0 eV/cell
Formation enthalpy at 0 K ... 1.20 eV per atom

=====

Entry from Alexandria: SrYAsC2 at its PBEsol-relaxed geometry (meta-GGA SCAN). Values from VASP.

The structure in Quantum ESPRESSO input format:
```
&SYSTEM
  ibrav = 0, nat = 5, ntyp = 4
/
ATOMIC_SPECIES
Sr 87.62 Sr.upf
Y 88.91 Y.upf
As 74.92 As.upf
C 12.01 C.upf
CELL_PARAMETERS angstrom
4.439 0.000 0.000
0.000 4.439 0.000
0.000 0.000 5.353
ATOMIC_POSITIONS crystal
Sr 0.000 0.000 0.000
Y 0.500 0.500 0.500
As 0.000 0.000 0.500
C 0.000 0.500 0.000
C 0.500 0.000 0.000
```

Calculated values
Space group ... No. 123
Uncorrected energy ... -81.3 eV/cell
Formation enthalpy at 0 K ... 1.84 eV per atom

=====

> Look up the uncorrected energy of the fourth one.

-67.0 eV/cell

=====

> uncorrected energy of number 5 (SnAsC2)?

-143.0 eV/cell

=====

> Which value of uncorrected energy does entry 2 give?

-49.9 eV/cell